The following is a PBE calculation of a geometry-optimized Na3La2PaS6 structure, from Alexandria via LeMat-Bulk.

Cell and atoms, written as POSCAR:
```
Na3La2PaS6
1.0
-4.5950 -4.4756 3.1847
6.0916 -2.5185 -2.7995
2.6013 3.3282 5.7339
Na La Pa S
3 2 1 6
Cartesian
5.6079 -1.1812 1.0666
-1.5100 -2.4847 5.0525
2.0489 -1.8329 3.0595
2.5328 -3.1702 -0.8067
-1.0362 -3.8238 1.1919
0.0000 0.0000 0.0000
1.4283 -3.0984 5.6210
1.7433 -4.5416 1.6279
2.6696 -0.5675 0.4981
4.8233 -2.4767 3.7198
2.3546 0.8757 4.4912
-0.7255 -1.1892 2.3993
```

Computed properties:
E in eV/atom: -5.70
D(E_F) in states/eV/atom: 0.5940
Total moment in μB/cell: 1.78
SG: C2/m, No. 12
Calculated density in Mg/m³: 4.29
Uncorrected formation energy in eV/atom: -1.69